PBE TlReTe, relaxed; space-group type = P-6m2, No. 187; D(E_F) = 1.248 states/eV per atom; crystal system = hexagonal; energy above the lowest structure with this stoichiometry = 432 meV per atom; formation energy from raw total energies = 0.97 eV per atom
1.0
4.6745 0.0000 0.0000
-2.3372 4.0482 0.0000
0.0000 0.0000 3.5438
Tl Re Te
1 1 1
Cartesian
0.0000 0.0000 0.0000 Tl
2.3372 1.3494 1.7719 Re
0.0000 2.6988 1.7719 Te